# HgRhO (PBE-GGA, optimized geometry)
# - Energy: -4.332 eV/atom
# - E_form (uncorrected): -0.13 eV/atom
# - ΔE to the lowest computed polymorph: 10.7 kJ per mole of atoms
data_HgRhO
_cell_length_a 6.2953
_cell_length_b 6.2953
_cell_length_c 6.2953
_cell_angle_alpha 27.90
_cell_angle_beta 27.90
_cell_angle_gamma 27.90
_space_group_name_H-M_alt 'P 1'
_space_group_IT_number 1
loop_
_space_group_symop_operation_xyz
'x,y,z'
loop_
_atom_site_label
_atom_site_type_symbol
_atom_site_fract_x
_atom_site_fract_y
_atom_site_fract_z
Hg1 Hg 0.0000 0.0000 0.0000
Rh1 Rh 0.5339 0.5339 0.5339
O1 O 0.1438 0.1438 0.1438